(1)
AgIr (GGA-PBE, relaxed); space-group type = C2/m (12); energy relative to the elements = 0.36 eV/atom; total moment = 0.00 μB per atom; crystal system = monoclinic
1.0
6.471 -0.007 -0.002
2.333 4.147 0.002
-2.937 -2.862 2.412
Ir Ag
2 2
Direct
0.463 0.505 0.958
0.621 0.245 0.376
0.936 0.998 0.938
0.147 0.752 0.395

***

(2)
AgIr (GGA-PBE, relaxed); space-group type = P4/mcc (124); energy relative to the elements = 0.79 eV/atom; total moment = 0.00 μB per atom; crystal system = tetragonal
1.0
-7.975 2.228 -0.064
-1.842 -6.721 -4.471
-0.708 -2.422 3.932
Ag Ir
8 8
Direct
0.890 0.225 0.000
0.890 0.775 0.500
0.110 0.225 0.500
0.110 0.775 0.000
0.775 0.110 0.500
0.775 0.890 0.000
0.225 0.110 0.000
0.225 0.890 0.500
0.852 0.552 0.000
0.852 0.448 0.500
0.148 0.552 0.500
0.148 0.448 0.000
0.448 0.148 0.500
0.448 0.852 0.000
0.552 0.148 0.000
0.552 0.852 0.500

***

(3)
Ag2Ir (GGA-PBE, relaxed); space-group type = Pa-3 (205); ΔE to the lowest computed polymorph = 0.9496 eV per atom; energy relative to the elements = 1.21 eV/atom; total moment = 0.00 μB per atom; crystal system = cubic
1.0
6.308 0.000 0.000
0.000 6.308 0.000
0.000 0.000 6.308
Ir Ag
4 8
Direct
0.000 0.000 0.000
0.000 0.500 0.500
0.500 0.000 0.500
0.500 0.500 0.000
0.133 0.633 0.867
0.133 0.867 0.367
0.367 0.133 0.867
0.367 0.367 0.367
0.633 0.633 0.633
0.633 0.867 0.133
0.867 0.133 0.633
0.867 0.367 0.133